No. 1
Nd4Sm3Tl4 | Alexandria via LeMat-Bulk | PBE-GGA | relaxed; energy of formation from the pure elements = -0.254 eV/atom; total energy = -4.136 eV/atom
1.0
3.746 0.000 0.000
0.000 9.573 0.000
-1.873 -4.786 9.764
Nd Tl Sm
4 4 3
Direct
0.663 0.841 0.326 Nd
0.337 0.515 0.674 Nd
0.663 0.485 0.326 Nd
0.337 0.159 0.674 Nd
0.274 0.774 0.547 Tl
0.500 0.779 0.000 Tl
0.500 0.221 0.000 Tl
0.726 0.226 0.453 Tl
0.095 0.095 0.189 Sm
0.905 0.905 0.811 Sm
0.000 0.500 0.000 Sm

***

No. 2
Ta2TcW | Alexandria via LeMat-Bulk | PBE-GGA | relaxed; polymorph energy (0 for the lowest one) = 221 meV/atom; energy of formation from the pure elements = -0.082 eV/atom; total energy = -11.839 eV/atom
1.0
2.823 -0.005 0.000
-0.998 2.641 0.000
0.000 0.000 8.974
Ta Tc W
2 1 1
Direct
0.500 0.500 0.261 Ta
0.000 0.000 0.995 Ta
0.000 0.000 0.503 Tc
0.500 0.500 0.741 W

***

No. 3
SrZnCuAg2 | Alexandria via LeMat-Bulk | PBE-GGA | relaxed; polymorph energy (0 for the lowest one) = 0 meV/atom; energy of formation from the pure elements = -0.013 eV/atom; total energy = -2.563 eV/atom
1.0
5.013 0.000 0.000
0.000 5.013 0.000
0.000 0.000 4.681
Ag Cu Sr Zn
2 1 1 1
Direct
0.500 0.000 0.000 Ag
0.000 0.500 0.000 Ag
0.000 0.000 0.000 Cu
0.500 0.500 0.500 Sr
0.000 0.000 0.500 Zn

***

No. 4
BaPm2Sm | Alexandria via LeMat-Bulk | PBE-GGA | relaxed; polymorph energy (0 for the lowest one) = 0 meV/atom; energy of formation from the pure elements = 0.118 eV/atom; total energy = -3.918 eV/atom
1.0
-0.656 2.915 2.292
-3.337 0.551 -1.656
-4.719 -6.767 7.258
Pm Sm Ba
2 1 1
Direct
0.000 0.000 0.219 Pm
0.000 0.000 0.781 Pm
0.500 0.500 0.000 Sm
0.500 0.500 0.500 Ba

***

No. 5
AcYHoTh | Alexandria via LeMat-Bulk | PBE-GGA | relaxed; energy of formation from the pure elements = 0.136 eV/atom; total energy = -5.507 eV/atom
1.0
-3.373 4.717 -0.452
-5.636 -0.570 -1.319
-4.054 1.074 4.031
Ac Ho Y Th
1 1 1 1
Direct
0.250 0.250 0.250 Ac
0.000 0.000 0.000 Ho
0.500 0.500 0.500 Y
0.750 0.750 0.750 Th

***

No. 6
BeIr2Pb | Alexandria via LeMat-Bulk | PBE-GGA | relaxed; polymorph energy (0 for the lowest one) = 124 meV/atom; energy of formation from the pure elements = 0.245 eV/atom; total energy = -6.044 eV/atom
1.0
-0.610 -3.520 -3.783
1.024 -4.882 1.479
-2.989 4.217 0.591
Ir Be Pb
2 1 1
Direct
0.461 0.461 0.000 Ir
0.039 0.039 0.000 Ir
0.250 0.750 0.500 Be
0.750 0.250 0.500 Pb

***

No. 7
Sr3SmPa2P6 | Alexandria via LeMat-Bulk | PBE-GGA | relaxed; energy of formation from the pure elements = -1.293 eV/atom; total energy = -6.394 eV/atom
1.0
-2.328 -6.042 -3.155
2.104 -0.115 6.888
-6.408 3.503 0.761
Pa P Sm Sr
2 6 1 3
Direct
0.333 0.667 0.000 Pa
0.667 0.333 0.000 Pa
0.072 0.419 0.217 P
0.726 0.726 0.217 P
0.581 0.928 0.783 P
0.419 0.072 0.217 P
0.274 0.274 0.783 P
0.928 0.581 0.783 P
0.000 0.000 0.000 Sm
0.164 0.836 0.500 Sr
0.500 0.500 0.500 Sr
0.836 0.164 0.500 Sr

***

No. 8
Pm6Bi2Te3As | Alexandria via LeMat-Bulk | PBE-GGA | relaxed; uncorrected formation energy = -15.63 eV/f.u.; total energy = -5.497 eV/atom
1.0
4.448 0.000 0.000
0.000 8.978 0.318
-2.224 -2.584 9.436
Te Pm Bi As
3 6 2 1
Direct
0.500 0.500 0.000 Te
0.171 0.837 0.341 Te
0.829 0.163 0.659 Te
0.335 0.417 0.670 Pm
0.665 0.583 0.330 Pm
0.654 0.077 0.308 Pm
0.346 0.923 0.692 Pm
0.999 0.224 0.998 Pm
0.001 0.776 0.002 Pm
0.167 0.334 0.334 Bi
0.833 0.666 0.666 Bi
0.500 0.000 0.000 As

***

No. 9
BePdBr2 | Alexandria via LeMat-Bulk | PBE-GGA | relaxed; polymorph energy (0 for the lowest one) = 69 meV/atom; uncorrected formation energy = -0.41 eV/f.u.; total energy = -3.169 eV/atom
1.0
1.988 0.000 7.755
-0.994 1.722 7.755
-0.994 -1.722 7.755
Br Pd Be
2 1 1
Direct
0.893 0.893 0.893 Br
0.107 0.107 0.107 Br
0.000 0.000 0.000 Pd
0.500 0.500 0.500 Be

***

No. 10
Ce2FeNi9 | Alexandria via LeMat-Bulk | PBE-GGA | relaxed; energy of formation from the pure elements = -0.142 eV/atom; total energy = -6.173 eV/atom
1.0
-3.459 -1.875 -2.838
-2.028 -4.257 1.139
-7.509 1.830 3.797
Fe Ni Ce
1 9 2
Direct
0.000 0.000 0.000 Fe
0.920 0.419 0.243 Ni
0.667 0.667 0.998 Ni
0.333 0.333 0.002 Ni
0.419 0.419 0.243 Ni
0.581 0.080 0.757 Ni
0.500 0.500 0.500 Ni
0.080 0.581 0.757 Ni
0.581 0.581 0.757 Ni
0.419 0.920 0.243 Ni
0.868 0.868 0.396 Ce
0.132 0.132 0.604 Ce